Compound: LiNi2AgF8
Source: Alexandria via LeMat-Bulk
Functional: GGA+U
Structure: relaxed

abc: 4.7960 6.2744 4.8149
angles: 90.00 90.92 90.00
Closest atoms and distances in Å follow each position.
Element x y z (fractional)
Li (0.0000, 0.0000, 0.0000)  6 F 2.04-2.10
Ni (0.5000, 0.2383, 0.5000)  6 F 2.00-2.06
Ni (0.5000, 0.7617, 0.5000)  6 F 2.00-2.06
Ag (0.0000, 0.5000, 0.0000)  6 F 2.10-2.18
F (0.2036, 0.2430, 0.1974)  1 Ni 2.02, 1 Li 2.04, 1 Ag 2.10
F (0.2036, 0.7570, 0.1974)  1 Ni 2.02, 1 Li 2.04, 1 Ag 2.10
F (0.3049, 0.0000, 0.6906)  2 Ni 2.00, 1 Li 2.10
F (0.3148, 0.5000, 0.6787)  2 Ni 2.06, 1 Ag 2.18
F (0.6852, 0.5000, 0.3213)  2 Ni 2.06, 1 Ag 2.18
F (0.6951, 0.0000, 0.3094)  2 Ni 2.00, 1 Li 2.10
F (0.7964, 0.2430, 0.8026)  1 Ni 2.02, 1 Li 2.04, 1 Ag 2.10
F (0.7964, 0.7570, 0.8026)  1 Ni 2.02, 1 Li 2.04, 1 Ag 2.10

Results
- M_tot: 0.4663 μB per atom
- E_tot: -3.96 eV/atom
- Density: 4.404 g cm⁻³